Record 1
Density functional theory data (GGA-PBE) for a relaxed structure of Pr2SiAu.

Unit cell a=5.957 b=4.159 c=8.432 alpha=90.00 beta=92.39 gamma=90.00
Atoms (fractional coordinates):
Pr (0.131, 0.750, 0.673)
Pr (0.374, 0.750, 0.186)
Pr (0.626, 0.250, 0.814)
Pr (0.869, 0.250, 0.327)
Si (0.379, 0.250, 0.467)
Si (0.621, 0.750, 0.533)
Au (0.848, 0.750, 0.045)
Au (0.152, 0.250, 0.955)

SG = P2_1/m, No. 11
volume = 208.7 Å³ per cell
total DFT energy (no corrections) = -5.266 eV per atom

Record 2
Density functional theory data (GGA-PBE) for a relaxed structure of TbGd2Tl3AgIr2.

Unit cell a=3.831 b=7.853 c=7.853 alpha=119.92 beta=90.00 gamma=90.00
Atoms (fractional coordinates):
Gd (0.000, 0.000, 0.412)
Gd (0.000, 0.412, 0.000)
Tl (0.500, 0.271, 0.271)
Tl (0.500, 0.730, 0.000)
Tl (0.500, 0.000, 0.730)
Ag (0.000, 0.000, 0.000)
Ir (0.500, 0.334, 0.667)
Ir (0.500, 0.667, 0.334)
Tb (0.000, 0.587, 0.587)

SG = Amm2, No. 38
volume = 204.8 Å³ per cell
total DFT energy (no corrections) = -5.054 eV per atom

Record 3
Density functional theory data (GGA-PBE) for a relaxed structure of PrNd3I2N2.

Unit cell a=3.806 b=3.806 c=15.244 alpha=90.00 beta=90.00 gamma=120.00
Atoms (fractional coordinates):
Nd (0.000, 0.000, 0.416)
Nd (0.333, 0.667, 0.913)
Nd (0.333, 0.667, 0.586)
N (0.667, 0.333, 0.996)
N (0.667, 0.333, 0.501)
Pr (0.000, 0.000, 0.086)
I (0.333, 0.667, 0.253)
I (0.000, 0.000, 0.749)

SG = P3m1, No. 156
volume = 191.2 Å³ per cell
total DFT energy (no corrections) = -6.071 eV per atom